The following is a PBE-GGA calculation of crystalline AlW at its relaxed geometry, from Alexandria via LeMat-Bulk.

Lattice parameters (Å, degrees): 2.718 2.718 8.646 90.00 90.00 90.00
Fractional positions:
Al1 0.250 0.250 0.130
Al2 0.750 0.750 0.870
W1 0.250 0.250 0.633
W2 0.750 0.750 0.367

Summary:
The spin magnetization is 0.00 μB per cell. As for the formation energy: 0.174 eV/atom.

The following is a PBE-GGA calculation of crystalline Al3W at its relaxed geometry, from Alexandria via LeMat-Bulk.

Lattice parameters (Å, degrees): 3.791 3.791 16.966 90.00 90.00 90.00
Fractional positions:
Al1 0.000 0.000 0.119
Al2 0.000 0.000 0.881
Al3 0.000 0.500 0.000
Al4 0.000 0.500 0.250
Al5 0.000 0.500 0.500
Al6 0.000 0.500 0.750
Al7 0.500 0.000 0.000
Al8 0.500 0.000 0.250
Al9 0.500 0.000 0.500
Al10 0.500 0.000 0.750
Al11 0.500 0.500 0.381
Al12 0.500 0.500 0.619
W1 0.000 0.000 0.370
W2 0.000 0.000 0.630
W3 0.500 0.500 0.130
W4 0.500 0.500 0.870

Summary:
The spin magnetization is 0.00 μB per cell. As for the formation energy: -0.054 eV/atom.

The following is a PBE-GGA calculation of crystalline AlW2 at its relaxed geometry, from Alexandria via LeMat-Bulk.

Lattice parameters (Å, degrees): 2.727 15.155 4.608 90.00 90.00 90.00
Fractional positions:
Al1 0.000 0.116 0.250
Al2 0.000 0.884 0.750
Al3 0.500 0.384 0.750
Al4 0.500 0.616 0.250
W1 0.000 0.217 0.750
W2 0.000 0.451 0.250
W3 0.000 0.549 0.750
W4 0.000 0.783 0.250
W5 0.500 0.049 0.750
W6 0.500 0.283 0.250
W7 0.500 0.717 0.750
W8 0.500 0.951 0.250

Summary:
The spin magnetization is 0.00 μB per cell. As for the formation energy: 0.117 eV/atom.